First-principles (PBE-GGA) data for a geometry-optimized CsAgHg2Se structure, as listed in the Alexandria database.

Computed properties:
- Formation energy without anion corrections: 510 meV per atom
- Total magnetization: 0.6 μB per cell
- Space group: P4/mmm (123)
- Energy: -1.049 eV/atom
- Crystal system: tetragonal
- Polymorph energy (0 for the lowest one): 4.08 eV per formula unit

a = 7.174 Å, b = 7.174 Å, c = 6.075 Å
α = 90.00°, β = 90.00°, γ = 90.00°
Atoms (fractional coordinates):
1 Cs 0.000 0.000 0.000
2 Ag 0.500 0.500 0.500
3 Hg 0.000 0.500 0.000
4 Hg 0.500 0.000 0.000
5 Se 0.000 0.000 0.500